Computed, not measured: a geometry-optimized LaEr2InAu4 structure at the PBE level of DFT.

a b c (Å): 4.950 4.950 9.371
angles (deg): 74.69 74.69 60.00
Fractional positions:
La  0.000  0.000  0.000
Er  0.763  0.763  0.711
Er  0.237  0.237  0.289
In  0.500  0.500  0.500
Au  0.389  0.389  0.833
Au  0.881  0.881  0.358
Au  0.119  0.119  0.642
Au  0.611  0.611  0.167

Summary:
E_form   -739.7 meV/atom
Magnetic moment   0.00 μB/f.u.
Symmetry   No. 166



Computed, not measured: a geometry-optimized ErLuInAu structure at the PBE level of DFT.

a b c (Å): 5.146 5.146 5.146
angles (deg): 60.00 60.00 60.00
Fractional positions:
In  0.250  0.250  0.250
Lu  0.000  0.000  0.000
Au  0.750  0.750  0.750
Er  0.500  0.500  0.500

Summary:
E_form   -619.1 meV/atom
Magnetic moment   0.00 μB/f.u.
Symmetry   No. 216



Computed, not measured: a geometry-optimized ErMgInAu structure at the PBE level of DFT.

a b c (Å): 4.994 4.994 4.994
angles (deg): 60.00 60.00 60.00
Fractional positions:
Mg  0.250  0.250  0.250
In  0.500  0.500  0.500
Au  0.000  0.000  0.000
Er  0.750  0.750  0.750

Summary:
E_form   -545.7 meV/atom
Magnetic moment   0.00 μB/f.u.
Symmetry   No. 216



Computed, not measured: a geometry-optimized NaErInAu structure at the PBE level of DFT.

a b c (Å): 5.088 5.088 5.088
angles (deg): 60.00 60.00 60.00
Fractional positions:
Na  0.250  0.250  0.250
In  0.500  0.500  0.500
Au  0.000  0.000  0.000
Er  0.750  0.750  0.750

Summary:
E_form   -370.8 meV/atom
Magnetic moment   0.00 μB/f.u.
Symmetry   No. 216



Computed, not measured: a geometry-optimized NaErIn2Au4 structure at the PBE level of DFT.

a b c (Å): 4.899 4.899 8.520
angles (deg): 73.29 73.29 60.00
Fractional positions:
Na  0.000  0.000  0.000
Er  0.500  0.500  0.500
In  0.745  0.745  0.764
In  0.255  0.255  0.236
Au  0.378  0.378  0.867
Au  0.874  0.874  0.377
Au  0.126  0.126  0.623
Au  0.622  0.622  0.133

Summary:
E_form   -482.8 meV/atom
Magnetic moment   0.00 μB/f.u.
Symmetry   No. 166



Computed, not measured: a geometry-optimized NdErInAu structure at the PBE level of DFT.

a b c (Å): 5.292 5.292 5.292
angles (deg): 60.00 60.00 60.00
Fractional positions:
Nd  0.000  0.000  0.000
In  0.750  0.750  0.750
Au  0.250  0.250  0.250
Er  0.500  0.500  0.500

Summary:
E_form   -579.4 meV/atom
Magnetic moment   0.00 μB/f.u.
Symmetry   No. 216



Computed, not measured: a geometry-optimized NdEr2InAu4 structure at the PBE level of DFT.

a b c (Å): 5.010 5.010 8.917
angles (deg): 73.68 73.68 60.00
Fractional positions:
Nd  0.000  0.000  0.000
Er  0.758  0.758  0.725
Er  0.242  0.242  0.275
In  0.500  0.500  0.500
Au  0.375  0.375  0.875
Au  0.879  0.879  0.363
Au  0.121  0.121  0.637
Au  0.625  0.625  0.125

Summary:
E_form   -742.0 meV/atom
Magnetic moment   0.00 μB/f.u.
Symmetry   No. 166



Computed, not measured: a geometry-optimized ErInNiAu structure at the PBE level of DFT.

a b c (Å): 4.773 4.773 4.773
angles (deg): 60.00 60.00 60.00
Fractional positions:
Ni  0.250  0.250  0.250
In  0.500  0.500  0.500
Au  0.750  0.750  0.750
Er  0.000  0.000  0.000

Summary:
E_form   -488.5 meV/atom
Magnetic moment   0.00 μB/f.u.
Symmetry   No. 216



Computed, not measured: a geometry-optimized Er4InAuO structure at the PBE level of DFT.

a b c (Å): 6.562 6.570 8.297
angles (deg): 90.00 113.29 90.00
Fractional positions:
Er  0.937  0.250  0.875
Er  0.418  0.750  0.835
Er  0.063  0.750  0.125
Er  0.582  0.250  0.165
Er  0.500  0.500  0.500
Er  0.000  0.000  0.500
Er  0.500  0.000  0.500
Er  0.000  0.500  0.500
In  0.615  0.750  0.229
In  0.385  0.250  0.771
Au  0.122  0.250  0.244
Au  0.878  0.750  0.756
O  0.258  0.750  0.516
O  0.742  0.250  0.484

Summary:
Magnetic moment   0.00 μB/f.u.
Symmetry   No. 63
Energy relative to the elements, uncorrected   -1.1959 eV per atom



Computed, not measured: a geometry-optimized Er2InPd5Au structure at the PBE level of DFT.

a b c (Å): 8.298 8.298 7.980
angles (deg): 121.33 121.33 90.00
Fractional positions:
Er  0.127  0.373  0.000
Er  0.627  0.127  0.000
Er  0.373  0.873  0.000
Er  0.873  0.627  0.000
In  0.250  0.250  0.500
In  0.750  0.750  0.500
Pd  0.938  0.438  0.267
Pd  0.671  0.171  0.733
Pd  0.062  0.562  0.733
Pd  0.171  0.062  0.733
Pd  0.562  0.671  0.733
Pd  0.829  0.938  0.267
Pd  0.438  0.329  0.267
Pd  0.329  0.829  0.267
Pd  0.500  0.500  0.000
Pd  0.000  0.000  0.000
Au  0.250  0.750  0.500
Au  0.750  0.250  0.500

Summary:
E_form   -353.2 meV/atom
Magnetic moment   0.00 μB/f.u.
Symmetry   No. 140



Computed, not measured: a geometry-optimized ErInPdAu structure at the PBE level of DFT.

a b c (Å): 4.853 4.853 4.853
angles (deg): 60.00 60.00 60.00
Fractional positions:
In  0.750  0.750  0.750
Au  0.500  0.500  0.500
Pd  0.000  0.000  0.000
Er  0.250  0.250  0.250

Summary:
E_form   -751.5 meV/atom
Magnetic moment   0.00 μB/f.u.
Symmetry   No. 216



Computed, not measured: a geometry-optimized PmErInAu structure at the PBE level of DFT.

a b c (Å): 5.272 5.272 5.272
angles (deg): 60.00 60.00 60.00
Fractional positions:
In  0.500  0.500  0.500
Pm  0.750  0.750  0.750
Au  0.000  0.000  0.000
Er  0.250  0.250  0.250

Summary:
E_form   -589.9 meV/atom
Magnetic moment   0.00 μB/f.u.
Symmetry   No. 216
Relative energy among the computed polymorphs   0.075 eV per atom



Computed, not measured: a geometry-optimized PmErInAu structure at the PBE level of DFT.

a b c (Å): 3.632 3.632 7.783
angles (deg): 90.00 90.00 90.00
Fractional positions:
Pm  0.000  0.000  0.844
Er  0.000  0.000  0.382
In  0.500  0.500  0.120
Au  0.500  0.500  0.582

Summary:
E_form   -665.2 meV/atom
Magnetic moment   0.00 μB/f.u.
Symmetry   No. 99
Relative energy among the computed polymorphs   0.000 eV per atom



Computed, not measured: a geometry-optimized PrErInAu structure at the PBE level of DFT.

a b c (Å): 5.313 5.313 5.313
angles (deg): 60.00 60.00 60.00
Fractional positions:
Pr  0.750  0.750  0.750
In  0.000  0.000  0.000
Au  0.500  0.500  0.500
Er  0.250  0.250  0.250

Summary:
E_form   -569.4 meV/atom
Magnetic moment   0.00 μB/f.u.
Symmetry   No. 216



Computed, not measured: a geometry-optimized PrErIn2Au4 structure at the PBE level of DFT.

a b c (Å): 4.979 4.979 8.722
angles (deg): 73.42 73.42 60.00
Fractional positions:
Pr  0.000  0.000  0.000
Er  0.500  0.500  0.500
In  0.749  0.749  0.752
In  0.251  0.251  0.248
Au  0.382  0.382  0.855
Au  0.869  0.869  0.392
Au  0.131  0.131  0.608
Au  0.618  0.618  0.145

Summary:
E_form   -684.0 meV/atom
Magnetic moment   0.00 μB/f.u.
Symmetry   No. 166



Computed, not measured: a geometry-optimized Er5In2Rh2Au structure at the PBE level of DFT.

a b c (Å): 3.602 11.567 11.567
angles (deg): 90.00 90.00 90.00
Fractional positions:
Er  0.500  0.200  0.076
Er  0.500  0.800  0.924
Er  0.500  0.076  0.800
Er  0.500  0.700  0.424
Er  0.500  0.924  0.200
Er  0.500  0.300  0.576
Er  0.500  0.576  0.700
Er  0.500  0.424  0.300
Er  0.500  0.500  0.000
Er  0.500  0.000  0.500
In  0.000  0.673  0.173
In  0.000  0.327  0.827
In  0.000  0.173  0.327
In  0.000  0.827  0.673
Rh  0.000  0.134  0.634
Rh  0.000  0.866  0.366
Rh  0.000  0.634  0.866
Rh  0.000  0.366  0.134
Au  0.000  0.000  0.000
Au  0.000  0.500  0.500

Summary:
E_form   -702.5 meV/atom
Magnetic moment   0.00 μB/f.u.
Symmetry   No. 127



Computed, not measured: a geometry-optimized ErInRhAu structure at the PBE level of DFT.

a b c (Å): 4.805 4.805 4.805
angles (deg): 60.00 60.00 60.00
Fractional positions:
Rh  0.500  0.500  0.500
In  0.250  0.250  0.250
Au  0.000  0.000  0.000
Er  0.750  0.750  0.750

Summary:
E_form   -639.3 meV/atom
Magnetic moment   0.00 μB/f.u.
Symmetry   No. 216



Computed, not measured: a geometry-optimized ErSc2InAu4 structure at the PBE level of DFT.

a b c (Å): 4.860 4.860 8.525
angles (deg): 73.44 73.44 60.00
Fractional positions:
Er  0.000  0.000  0.000
Sc  0.756  0.756  0.732
Sc  0.244  0.244  0.268
In  0.500  0.500  0.500
Au  0.370  0.370  0.891
Au  0.880  0.880  0.361
Au  0.120  0.120  0.639
Au  0.630  0.630  0.109

Summary:
E_form   -730.8 meV/atom
Magnetic moment   0.00 μB/f.u.
Symmetry   No. 166



Computed, not measured: a geometry-optimized ErScInAu structure at the PBE level of DFT.

a b c (Å): 5.059 5.059 5.059
angles (deg): 60.00 60.00 60.00
Fractional positions:
Sc  0.250  0.250  0.250
In  0.500  0.500  0.500
Au  0.000  0.000  0.000
Er  0.750  0.750  0.750

Summary:
E_form   -596.0 meV/atom
Magnetic moment   0.00 μB/f.u.
Symmetry   No. 216
Relative energy among the computed polymorphs   0.052 eV per atom



Computed, not measured: a geometry-optimized ErScInAu structure at the PBE level of DFT.

a b c (Å): 3.501 3.501 7.417
angles (deg): 90.00 90.00 90.00
Fractional positions:
Er  0.000  0.000  0.839
Sc  0.000  0.000  0.378
In  0.500  0.500  0.124
Au  0.500  0.500  0.587

Summary:
E_form   -648.4 meV/atom
Magnetic moment   0.00 μB/f.u.
Symmetry   No. 99
Relative energy among the computed polymorphs   0.000 eV per atom



no.,total DFT energy (no corrections) (Ry per atom),ρ (g/cm³)
1,-0.3291,12.1
2,-0.3230,11.3
3,-0.2638,9.5
4,-0.2459,9.0
5,-0.2603,12.0
6,-0.3246,9.9
7,-0.3278,12.5
8,-0.3365,11.6
9,-0.3948,10.1
10,-0.3617,10.5
11,-0.3450,12.0
12,-0.3250,10.0
13,-0.3306,10.1
14,-0.3241,9.7
15,-0.3069,12.5
16,-0.3917,10.1
17,-0.3764,12.3
18,-0.3576,11.7
19,-0.3545,9.5
20,-0.3584,9.6